VASP calculation (PBE with a Hubbard U) on CrBiBO5 after structural relaxation.

It has space group C2/c (No. 15), with a = 6.387 Å, b = 8.539 Å, c = 6.810 Å, α = 90.00°, β = 112.44° and γ = 90.00°. The asymmetric unit holds Cr at (0.000, 0.000, 0.000), Bi at (0.000, 0.343, 0.250), B at (0.000, 0.317, 0.750), O at (0.000, 0.074, 0.250), O at (0.098, 0.218, 0.623) and O at (0.172, 0.424, 0.908).

The value obtained for the calculated volume is 10.7 Å³ per atom. The calculation puts the total magnetization at 8.0 Bohr magnetons per cell. The value obtained for the density of states at the Fermi level is 7.19 states/eV per cell. Its total energy is -7.05 eV per atom.